(1)
# GaGeIr, relaxed, DFT PBE-GGA
# Volume: 17.7 Å³/atom
# Spin magnetization: 0.00 μB/f.u.
# Final energy: -5.795 eV/atom
data_GaGeIr
_chemical_formula_sum 'Ga1 Ge1 Ir1'
_cell_length_a 4.216
_cell_length_b 4.216
_cell_length_c 4.216
_cell_angle_alpha 60.00
_cell_angle_beta 60.00
_cell_angle_gamma 60.00
_space_group_name_H-M_alt 'P 1'
_space_group_IT_number 1
loop_
_space_group_symop_operation_xyz
'x,y,z'
loop_
_atom_site_label
_atom_site_type_symbol
_atom_site_fract_x
_atom_site_fract_y
_atom_site_fract_z
Ga1 Ga 0.250 0.250 0.250
Ge1 Ge 0.750 0.750 0.750
Ir1 Ir 0.000 0.000 0.000

(2)
# GaGeIr, relaxed, DFT PBE-GGA
# Volume: 17.2 Å³/atom
# Spin magnetization: 0.00 μB/f.u.
# Final energy: -5.318 eV/atom
data_GaGeIr
_chemical_formula_sum 'Ga1 Ge1 Ir1'
_cell_length_a 4.181
_cell_length_b 4.181
_cell_length_c 4.181
_cell_angle_alpha 60.00
_cell_angle_beta 60.00
_cell_angle_gamma 60.00
_space_group_name_H-M_alt 'P 1'
_space_group_IT_number 1
loop_
_space_group_symop_operation_xyz
'x,y,z'
loop_
_atom_site_label
_atom_site_type_symbol
_atom_site_fract_x
_atom_site_fract_y
_atom_site_fract_z
Ga1 Ga 0.250 0.250 0.250
Ge1 Ge 0.000 0.000 0.000
Ir1 Ir 0.750 0.750 0.750

(3)
# Li4GaGeIr2, relaxed, DFT PBE-GGA
# Volume: 13.3 Å³/atom
# Spin magnetization: 0.01 μB/f.u.
# Final energy: -4.564 eV/atom
data_Li4GaGeIr2
_chemical_formula_sum 'Li4 Ga1 Ge1 Ir2'
_cell_length_a 4.221
_cell_length_b 4.221
_cell_length_c 5.959
_cell_angle_alpha 90.00
_cell_angle_beta 90.00
_cell_angle_gamma 90.00
_space_group_name_H-M_alt 'P 1'
_space_group_IT_number 1
loop_
_space_group_symop_operation_xyz
'x,y,z'
loop_
_atom_site_label
_atom_site_type_symbol
_atom_site_fract_x
_atom_site_fract_y
_atom_site_fract_z
Ga1 Ga 0.000 0.000 0.500
Ge1 Ge 0.500 0.500 0.000
Ir1 Ir 0.000 0.500 0.243
Ir2 Ir 0.500 0.000 0.757
Li1 Li 0.000 0.000 0.000
Li2 Li 0.500 0.000 0.250
Li3 Li 0.500 0.500 0.500
Li4 Li 0.000 0.500 0.750

(4)
# Li2Mg2GaGeIr2, relaxed, DFT PBE-GGA
# Volume: 14.7 Å³/atom
# Spin magnetization: 0.00 μB/f.u.
# Final energy: -4.489 eV/atom
data_Li2Mg2GaGeIr2
_chemical_formula_sum 'Li2 Mg2 Ga1 Ge1 Ir2'
_cell_length_a 4.365
_cell_length_b 4.365
_cell_length_c 6.163
_cell_angle_alpha 90.00
_cell_angle_beta 90.00
_cell_angle_gamma 90.00
_space_group_name_H-M_alt 'P 1'
_space_group_IT_number 1
loop_
_space_group_symop_operation_xyz
'x,y,z'
loop_
_atom_site_label
_atom_site_type_symbol
_atom_site_fract_x
_atom_site_fract_y
_atom_site_fract_z
Ga1 Ga 0.000 0.000 0.000
Ge1 Ge 0.500 0.500 0.500
Ir1 Ir 0.000 0.500 0.257
Ir2 Ir 0.500 0.000 0.743
Li1 Li 0.500 0.000 0.249
Li2 Li 0.000 0.500 0.751
Mg1 Mg 0.500 0.500 0.000
Mg2 Mg 0.000 0.000 0.500

(5)
# Li2Sc2GaGeIr2, relaxed, DFT PBE-GGA
# Volume: 15.4 Å³/atom
# Spin magnetization: 0.03 μB/f.u.
# Final energy: -5.905 eV/atom
data_Li2Sc2GaGeIr2
_chemical_formula_sum 'Li2 Sc2 Ga1 Ge1 Ir2'
_cell_length_a 4.428
_cell_length_b 4.428
_cell_length_c 6.285
_cell_angle_alpha 90.00
_cell_angle_beta 90.00
_cell_angle_gamma 90.00
_space_group_name_H-M_alt 'P 1'
_space_group_IT_number 1
loop_
_space_group_symop_operation_xyz
'x,y,z'
loop_
_atom_site_label
_atom_site_type_symbol
_atom_site_fract_x
_atom_site_fract_y
_atom_site_fract_z
Ga1 Ga 0.000 0.000 0.000
Ge1 Ge 0.500 0.500 0.500
Ir1 Ir 0.000 0.500 0.251
Ir2 Ir 0.500 0.000 0.749
Li1 Li 0.500 0.000 0.250
Li2 Li 0.000 0.500 0.750
Sc1 Sc 0.500 0.500 0.000
Sc2 Sc 0.000 0.000 0.500

(6)
# Li2Zn2GaGeIr2, relaxed, DFT PBE-GGA
# Volume: 13.9 Å³/atom
# Spin magnetization: 0.00 μB/f.u.
# Final energy: -4.370 eV/atom
data_Li2Zn2GaGeIr2
_chemical_formula_sum 'Li2 Zn2 Ga1 Ge1 Ir2'
_cell_length_a 4.285
_cell_length_b 4.285
_cell_length_c 6.050
_cell_angle_alpha 90.00
_cell_angle_beta 90.00
_cell_angle_gamma 90.00
_space_group_name_H-M_alt 'P 1'
_space_group_IT_number 1
loop_
_space_group_symop_operation_xyz
'x,y,z'
loop_
_atom_site_label
_atom_site_type_symbol
_atom_site_fract_x
_atom_site_fract_y
_atom_site_fract_z
Ga1 Ga 0.000 0.000 0.000
Ge1 Ge 0.500 0.500 0.500
Ir1 Ir 0.000 0.500 0.258
Ir2 Ir 0.500 0.000 0.742
Li1 Li 0.500 0.000 0.249
Li2 Li 0.000 0.500 0.751
Zn1 Zn 0.500 0.500 0.000
Zn2 Zn 0.000 0.000 0.500

(7)
# Li2Zr2GaGeIr2, relaxed, DFT PBE-GGA
# Volume: 15.6 Å³/atom
# Spin magnetization: 0.04 μB/f.u.
# Final energy: -6.479 eV/atom
data_Li2Zr2GaGeIr2
_chemical_formula_sum 'Li2 Zr2 Ga1 Ge1 Ir2'
_cell_length_a 4.455
_cell_length_b 4.455
_cell_length_c 6.302
_cell_angle_alpha 90.00
_cell_angle_beta 90.00
_cell_angle_gamma 90.00
_space_group_name_H-M_alt 'P 1'
_space_group_IT_number 1
loop_
_space_group_symop_operation_xyz
'x,y,z'
loop_
_atom_site_label
_atom_site_type_symbol
_atom_site_fract_x
_atom_site_fract_y
_atom_site_fract_z
Ga1 Ga 0.000 0.000 0.500
Ge1 Ge 0.500 0.500 0.000
Ir1 Ir 0.500 0.000 0.249
Ir2 Ir 0.000 0.500 0.751
Li1 Li 0.000 0.500 0.250
Li2 Li 0.500 0.000 0.750
Zr1 Zr 0.000 0.000 0.000
Zr2 Zr 0.500 0.500 0.500

(8)
# Na2Zn2GaGeIr2, relaxed, DFT PBE-GGA
# Volume: 15.6 Å³/atom
# Spin magnetization: 0.00 μB/f.u.
# Final energy: -3.886 eV/atom
data_Na2Zn2GaGeIr2
_chemical_formula_sum 'Na2 Zn2 Ga1 Ge1 Ir2'
_cell_length_a 4.452
_cell_length_b 4.452
_cell_length_c 6.286
_cell_angle_alpha 90.00
_cell_angle_beta 90.00
_cell_angle_gamma 90.00
_space_group_name_H-M_alt 'P 1'
_space_group_IT_number 1
loop_
_space_group_symop_operation_xyz
'x,y,z'
loop_
_atom_site_label
_atom_site_type_symbol
_atom_site_fract_x
_atom_site_fract_y
_atom_site_fract_z
Ga1 Ga 0.000 0.000 0.000
Ge1 Ge 0.500 0.500 0.500
Ir1 Ir 0.000 0.500 0.258
Ir2 Ir 0.500 0.000 0.742
Na1 Na 0.500 0.000 0.248
Na2 Na 0.000 0.500 0.752
Zn1 Zn 0.500 0.500 0.000
Zn2 Zn 0.000 0.000 0.500

(9)
# PrGaGeIr2, relaxed, DFT PBE-GGA
# Volume: 18.8 Å³/atom
# Spin magnetization: 0.01 μB/f.u.
# Final energy: -6.791 eV/atom
data_PrGaGeIr2
_chemical_formula_sum 'Pr2 Ga2 Ge2 Ir4'
_cell_length_a 4.238
_cell_length_b 4.238
_cell_length_c 10.493
_cell_angle_alpha 90.00
_cell_angle_beta 90.00
_cell_angle_gamma 90.00
_space_group_name_H-M_alt 'P 1'
_space_group_IT_number 1
loop_
_space_group_symop_operation_xyz
'x,y,z'
loop_
_atom_site_label
_atom_site_type_symbol
_atom_site_fract_x
_atom_site_fract_y
_atom_site_fract_z
Ga1 Ga 0.000 0.000 0.500
Ga2 Ga 0.500 0.500 0.500
Ge1 Ge 0.000 0.500 0.129
Ge2 Ge 0.500 0.000 0.871
Ir1 Ir 0.000 0.000 0.000
Ir2 Ir 0.500 0.500 0.000
Ir3 Ir 0.000 0.500 0.364
Ir4 Ir 0.500 0.000 0.636
Pr1 Pr 0.500 0.000 0.251
Pr2 Pr 0.000 0.500 0.749

(10)
# Sr2GaGeIr2, relaxed, DFT PBE-GGA
# Volume: 23.8 Å³/atom
# Spin magnetization: 0.02 μB/f.u.
# Final energy: -5.350 eV/atom
data_Sr2GaGeIr2
_chemical_formula_sum 'Sr2 Ga1 Ge1 Ir2'
_cell_length_a 4.319
_cell_length_b 4.319
_cell_length_c 7.666
_cell_angle_alpha 90.00
_cell_angle_beta 90.00
_cell_angle_gamma 90.00
_space_group_name_H-M_alt 'P 1'
_space_group_IT_number 1
loop_
_space_group_symop_operation_xyz
'x,y,z'
loop_
_atom_site_label
_atom_site_type_symbol
_atom_site_fract_x
_atom_site_fract_y
_atom_site_fract_z
Ga1 Ga 0.000 0.000 0.325
Ge1 Ge 0.500 0.500 0.667
Ir1 Ir 0.500 0.000 0.503
Ir2 Ir 0.000 0.500 0.503
Sr1 Sr 0.500 0.500 0.184
Sr2 Sr 0.000 0.000 0.819

(11)
# SrGaGeIr2, relaxed, DFT PBE-GGA
# Volume: 19.2 Å³/atom
# Spin magnetization: 0.00 μB/f.u.
# Final energy: -6.029 eV/atom
data_SrGaGeIr2
_chemical_formula_sum 'Sr2 Ga2 Ge2 Ir4'
_cell_length_a 4.281
_cell_length_b 4.281
_cell_length_c 10.494
_cell_angle_alpha 90.00
_cell_angle_beta 90.00
_cell_angle_gamma 90.00
_space_group_name_H-M_alt 'P 1'
_space_group_IT_number 1
loop_
_space_group_symop_operation_xyz
'x,y,z'
loop_
_atom_site_label
_atom_site_type_symbol
_atom_site_fract_x
_atom_site_fract_y
_atom_site_fract_z
Ga1 Ga 0.000 0.000 0.500
Ga2 Ga 0.500 0.500 0.500
Ge1 Ge 0.500 0.000 0.126
Ge2 Ge 0.000 0.500 0.874
Ir1 Ir 0.000 0.000 0.000
Ir2 Ir 0.500 0.500 0.000
Ir3 Ir 0.500 0.000 0.367
Ir4 Ir 0.000 0.500 0.633
Sr1 Sr 0.000 0.500 0.249
Sr2 Sr 0.500 0.000 0.751

(12)
# Zn2GaGeIr4, relaxed, DFT PBE-GGA
# Volume: 14.1 Å³/atom
# Spin magnetization: 0.00 μB/f.u.
# Final energy: -5.983 eV/atom
data_Zn2GaGeIr4
_chemical_formula_sum 'Zn2 Ga1 Ge1 Ir4'
_cell_length_a 4.301
_cell_length_b 4.301
_cell_length_c 6.082
_cell_angle_alpha 90.00
_cell_angle_beta 90.00
_cell_angle_gamma 90.00
_space_group_name_H-M_alt 'P 1'
_space_group_IT_number 1
loop_
_space_group_symop_operation_xyz
'x,y,z'
loop_
_atom_site_label
_atom_site_type_symbol
_atom_site_fract_x
_atom_site_fract_y
_atom_site_fract_z
Ga1 Ga 0.000 0.000 0.500
Ge1 Ge 0.500 0.500 0.000
Ir1 Ir 0.500 0.000 0.247
Ir2 Ir 0.000 0.500 0.247
Ir3 Ir 0.500 0.000 0.753
Ir4 Ir 0.000 0.500 0.753
Zn1 Zn 0.000 0.000 0.000
Zn2 Zn 0.500 0.500 0.500